1.
CaTaRe2Pt: relaxed, PBE.

Properties
M_tot   0.3 Bohr magnetons per cell
Formation energy   1.560 eV/atom
Space group   P4/mmm (123)
Crystal system   tetragonal
Energy above the lowest structure with this stoichiometry   0.000 eV per atom

a b c (Å): 4.8824 4.8824 4.8684
angles (deg): 90.00 90.00 90.00
With the nearest neighbours (Å) after each atom.
Fractional coordinates of all 5 atoms:
Ca1 0.0000 0.0000 0.0000  8 Re 3.45, 4 Ta 3.45
Ta1 0.5000 0.5000 0.0000  2 Pt 2.43
Re1 0.0000 0.5000 0.5000  2 Pt 2.44
Re2 0.5000 0.0000 0.5000  2 Pt 2.44
Pt1 0.5000 0.5000 0.5000  2 Ta 2.43, 4 Re 2.44


2.
ScTaIr2: relaxed, PBE.

Properties
M_tot   0.0 Bohr magnetons per cell
Formation energy   -0.581 eV/atom
Space group   I-4m2 (119)
Crystal system   tetragonal

a b c (Å): 5.2046 5.2046 5.2046
angles (deg): 136.36 136.36 63.43
With the nearest neighbours (Å) after each atom.
Fractional coordinates of all 4 atoms:
Sc1 0.0000 0.0000 0.0000  8 Ir 2.74-2.94, 4 Ta 2.94
Ta1 0.2500 0.7500 0.5000  8 Ir 2.74-2.94, 4 Sc 2.94
Ir1 0.5000 0.5000 0.0000  4 Sc 2.74, 4 Ta 2.94, 4 Ir 2.94
Ir2 0.7500 0.2500 0.5000  4 Ta 2.74, 4 Ir 2.94, 4 Sc 2.94


3.
BaNiSe: relaxed, PBE.

Properties
M_tot   0.0 Bohr magnetons per cell
Space group   P6_3/mmc (194)
Raw formation energy   -0.944 eV per atom
Crystal system   hexagonal

a b c (Å): 4.2290 4.2290 9.2743
angles (deg): 90.00 90.00 120.00
With the nearest neighbours (Å) after each atom.
Fractional coordinates of all 6 atoms:
Ba1 0.0000 0.0000 0.0000  6 Se 3.37, 6 Ni 3.37
Ba2 0.0000 0.0000 0.5000  6 Se 3.37, 6 Ni 3.37
Ni1 0.3333 0.6667 0.2500  3 Se 2.44
Ni2 0.6667 0.3333 0.7500  3 Se 2.44
Se1 0.3333 0.6667 0.7500  3 Ni 2.44
Se2 0.6667 0.3333 0.2500  3 Ni 2.44